No. 1
Density functional theory data (PBE) for a relaxed structure of Tm2ReW3.

Computed properties:
The calculation puts the density of states at the Fermi level at 0.8290 states/eV/atom. The total DFT energy (no corrections) comes out at -10.081 eV per atom. Its formation energy is -39 meV/atom.

Cell lengths 5.4923, 5.4923, 13.3337 Å; angles 90.00, 90.00, 120.00 degrees
Space group R-3m (No. 166, hexagonal axes)
Inequivalent atoms, fractional coordinates:
Tm (0.0000, 0.0000, 0.1256) (multiplicity 6)
Re (0.0000, 0.0000, 0.5000) (multiplicity 3)
W (0.0000, 0.5000, 0.0000) (multiplicity 9)

***

No. 2
Density functional theory data (PBE) for a relaxed structure of PmNdErTm.

Computed properties:
Its energy above the lowest structure with this stoichiometry is 82.7 meV/atom. The calculation puts the density of states at the Fermi level at 1.7647 states/eV/atom. The total DFT energy (no corrections) comes out at -4.535 eV per atom. Its formation energy is 103 meV/atom.

Cell lengths 8.0662, 8.0662, 8.0662 Å; angles 90.00, 90.00, 90.00 degrees
Space group F-43m (No. 216)
Inequivalent atoms, fractional coordinates:
Pm (0.0000, 0.0000, 0.0000) (multiplicity 4)
Nd (0.0000, 0.0000, 0.5000) (multiplicity 4)
Er (0.2500, 0.2500, 0.7500) (multiplicity 4)
Tm (0.2500, 0.2500, 0.2500) (multiplicity 4)

***

No. 3
Density functional theory data (PBE) for a relaxed structure of CaCr2Ru.

Computed properties:
Its energy above the lowest structure with this stoichiometry is 312.1 meV/atom. The calculation puts the density of states at the Fermi level at 0.8966 states/eV/atom. The total DFT energy (no corrections) comes out at -6.945 eV per atom. Its formation energy is 686 meV/atom.

Cell lengths 3.0051, 4.4974, 9.1360 Å; angles 90.00, 90.00, 90.00 degrees
Space group Immm (No. 71)
Inequivalent atoms, fractional coordinates:
Ca (0.0000, 0.0000, 0.0000) (multiplicity 2)
Cr (0.0000, 0.5000, 0.2289) (multiplicity 4)
Ru (0.0000, 0.0000, 0.5000) (multiplicity 2)

***

No. 4
Density functional theory data (PBE) for a relaxed structure of LiLa6Mg2.

Computed properties:
The calculation puts the density of states at the Fermi level at 1.1480 states/eV/atom. The total DFT energy (no corrections) comes out at -3.845 eV per atom. Its formation energy is 7 meV/atom.

Cell lengths 17.3902, 3.6951, 11.8235 Å; angles 90.00, 129.31, 90.00 degrees
Space group C2/m (No. 12)
Inequivalent atoms, fractional coordinates:
Li (0.0000, 0.0000, 0.0000) (multiplicity 2)
La (0.0450, 0.0000, 0.6887) (multiplicity 4)
La (0.1835, 0.5000, 0.0445) (multiplicity 4)
La (0.1979, 0.5000, 0.6038) (multiplicity 4)
Mg (0.0862, 0.5000, 0.2354) (multiplicity 4)

***

- Which of these has the lowest total DFT energy (no corrections)?
  Tm2ReW3

***

- Among the records above, which one has the highest total DFT energy (no corrections)?
  LiLa6Mg2

***

Copy entry 3 word for word.
Density functional theory data (PBE) for a relaxed structure of CaCr2Ru.

Computed properties:
Its energy above the lowest structure with this stoichiometry is 312.1 meV/atom. The calculation puts the density of states at the Fermi level at 0.8966 states/eV/atom. The total DFT energy (no corrections) comes out at -6.945 eV per atom. Its formation energy is 686 meV/atom.

Cell lengths 3.0051, 4.4974, 9.1360 Å; angles 90.00, 90.00, 90.00 degrees
Space group Immm (No. 71)
Inequivalent atoms, fractional coordinates:
Ca (0.0000, 0.0000, 0.0000) (multiplicity 2)
Cr (0.0000, 0.5000, 0.2289) (multiplicity 4)
Ru (0.0000, 0.0000, 0.5000) (multiplicity 2)

***

- total DFT energy (no corrections) of number 1 (Tm2ReW3)?
  -10.081 eV per atom